Here is a geometry-optimized BaNaCdAg2 structure from Alexandria. Energies are from PBE.

Lattice parameters (Å, degrees): 4.6380 4.6380 13.2129 90.00 90.00 90.00
With the nearest neighbours (Å) after each atom.
Space group I-4m2 (No. 119)
One atom of each set of equivalent atoms:
Ba 0.0000 0.0000 0.0000  8 Ag 3.57
Na 0.0000 0.5000 0.2500  4 Ag 2.99, 4 Cd 3.28
Cd 0.0000 0.5000 0.7500  4 Ag 2.99, 4 Na 3.28
Ag 0.0000 0.0000 0.3934  1 Ag 2.82, 2 Cd 2.99, 2 Na 2.99

Computed properties:
DFT formation energy ... -0.20 eV/atom
Fermi-level density of states ... 2.8 states/eV/f.u.
Raw total energy ... -2.170 eV/atom